Nd8TlGa2 | GGA-PBE | relaxed

Results
Calculated formation energy (eV/atom): -0.26
Distance to the lowest polymorph of the same formula (meV per atom): 0
E (eV/cell): -49.41
Magnetization (μB per cell): 0.00

```
Nd8TlGa2
1.0
8.8218 -2.4918 0.0000
8.8218 2.4918 0.0000
-2.8177 0.0000 7.5889
Nd Tl Ga
8 1 2
direct
0.0502 0.0502 0.2383
0.1731 0.1731 0.7622
0.3238 0.3238 0.5522
0.4014 0.4014 0.0468
0.5986 0.5986 0.9532
0.6762 0.6762 0.4478
0.8269 0.8269 0.2378
0.9498 0.9498 0.7617
0.5000 0.5000 0.5000
0.2120 0.2120 0.1689
0.7880 0.7880 0.8311
```